First-principles (PBE-GGA) data for an optimized crystal structure of Na3OsRh2O6, as listed in Alexandria via LeMat-Bulk.

abc: 5.581 5.581 5.461
angles: 99.71 99.71 120.82
Positions (direct):
O1 0.394 0.060 0.196
O2 0.940 0.606 0.804
O3 0.260 0.260 0.804
O4 0.740 0.740 0.196
O5 0.060 0.394 0.196
O6 0.606 0.940 0.804
Rh1 0.666 0.334 0.000
Rh2 0.334 0.666 0.000
Na1 0.500 0.500 0.500
Na2 0.830 0.170 0.500
Na3 0.170 0.830 0.500
Os1 0.000 0.000 0.000

Output
**Symmetry**: C2/m, No. 12
**Calculated total energy**: -71.7 eV per cell
**DOS(E_F)**: 0.54 states/eV per atom
**E_form (uncorrected)**: -12.09 eV/f.u.